[1]
A plane-wave DFT calculation with PBE was carried out for a relaxed structure of Ca2AgSbS4.

Properties
Its formation energy without anion corrections is -26.83 kcal/mol of atoms. The calculated volume is 23.052 Å³ per atom. The calculation puts the size of the total moment at 0.000 μB per formula unit.

a b c (Å): 5.674 5.674 7.004
angles (deg): 114.13 114.13 89.46
Positions (direct):
Ca 0.191 0.691 0.500
Ca 0.691 0.191 0.500
S 0.697 0.697 0.516
S 0.181 0.181 0.484
S 0.476 0.939 0.000
S 0.939 0.476 0.000
Ag 0.403 0.403 0.000
Sb 0.919 0.919 0.000


[2]
A plane-wave DFT calculation with PBE was carried out for a relaxed structure of CaAg2SbS4.

Properties
Its formation energy without anion corrections is -13.41 kcal/mol of atoms. The calculated volume is 21.332 Å³ per atom. The calculation puts the size of the total moment at 0.000 μB per formula unit.

a b c (Å): 5.429 5.429 6.947
angles (deg): 113.00 113.00 89.99
Positions (direct):
S 0.986 0.486 0.971
S 0.514 0.014 0.029
S 0.251 0.251 0.502
S 0.749 0.749 0.498
Sb 0.750 0.250 0.500
Ag 0.250 0.750 0.500
Ag 0.000 0.000 0.000
Ca 0.500 0.500 0.000


[3]
A plane-wave DFT calculation with PBE was carried out for a relaxed structure of CaAg2SeS.

Properties
Its formation energy without anion corrections is -17.66 kcal/mol of atoms. The calculated volume is 23.986 Å³ per atom. The calculation puts the size of the total moment at 0.000 μB per formula unit.

a b c (Å): 5.893 5.893 8.067
angles (deg): 111.42 111.42 90.00
Positions (direct):
Ag 0.119 0.277 0.896
Ag 0.277 0.777 0.896
Ag 0.777 0.619 0.896
Ag 0.619 0.119 0.896
Ca 0.761 0.761 0.521
Ca 0.261 0.261 0.521
S 0.288 0.788 0.577
S 0.788 0.288 0.577
Se 0.555 0.555 0.110
Se 0.055 0.055 0.110


[4]
A plane-wave DFT calculation with PBE was carried out for a relaxed structure of CaSiAg2S4.

Properties
Its formation energy without anion corrections is -13.18 kcal/mol of atoms. The calculated volume is 20.176 Å³ per atom. The calculation puts the size of the total moment at 0.000 μB per formula unit.

a b c (Å): 7.920 7.920 7.693
angles (deg): 121.20 121.20 91.60
Positions (direct):
S 0.704 0.700 0.478
S 0.296 0.300 0.522
S 0.311 0.706 0.514
S 0.200 0.204 0.978
S 0.800 0.796 0.022
S 0.689 0.294 0.486
S 0.794 0.189 0.986
S 0.206 0.811 0.014
Ag 0.000 0.000 0.500
Ag 0.500 0.000 0.000
Ag 0.500 0.500 0.000
Ag 0.500 0.000 0.500
Si 0.500 0.500 0.500
Si 0.000 0.000 0.000
Ca 0.000 0.500 0.000
Ca 0.000 0.500 0.500